Below is crystalline CdIrRh2 at its relaxed geometry, with properties calculated at the PBE level.

Values from the calculation:
SG: Imm2
ΔH_f (0 K), kcal/mol of atoms: 3.844

a b c (Å): 5.546 5.546 5.546
angles (deg): 150.79 129.96 59.00
Atoms (fractional coordinates):
1 Cd 0.000 0.000 0.000
2 Ir 0.733 0.233 0.500
3 Rh 0.268 0.768 0.500
4 Rh 0.505 0.505 0.000



Below is crystalline ScReAg2 at its relaxed geometry, with properties calculated at the PBE level.

Values from the calculation:
SG: R-3m
ΔH_f (0 K), kcal/mol of atoms: 10.419
E above lowest polymorph, meV/atom: 255.2

a b c (Å): 9.979 9.979 9.979
angles (deg): 16.51 16.51 16.51
Atoms (fractional coordinates):
1 Sc 0.000 0.000 0.000
2 Re 0.500 0.500 0.500
3 Ag 0.248 0.248 0.248
4 Ag 0.752 0.752 0.752



Below is crystalline Li2Mn2Co at its relaxed geometry, with properties calculated at the PBE level.

Values from the calculation:
SG: I4/mmm
ΔH_f (0 K), kcal/mol of atoms: 11.615
E above lowest polymorph, meV/atom: 0.0

a b c (Å): 7.634 7.634 7.634
angles (deg): 156.50 156.50 33.48
Atoms (fractional coordinates):
1 Li 0.250 0.750 0.500
2 Li 0.750 0.250 0.500
3 Mn 0.090 0.090 0.000
4 Mn 0.910 0.910 0.000
5 Co 0.500 0.500 0.000



Below is crystalline Ac3NdHo3Te8 at its relaxed geometry, with properties calculated at the PBE level.

Values from the calculation:
SG: R-3m
Energy relative to the elements, uncorrected, eV per atom: -1.429

a b c (Å): 9.118 9.118 9.118
angles (deg): 58.76 58.76 58.76
Atoms (fractional coordinates):
1 Ac 0.000 0.500 0.500
2 Ac 0.500 0.000 0.500
3 Ac 0.500 0.500 0.000
4 Nd 0.500 0.500 0.500
5 Ho 0.000 0.000 0.500
6 Ho 0.000 0.500 0.000
7 Ho 0.500 0.000 0.000
8 Te 0.228 0.754 0.754
9 Te 0.241 0.241 0.241
10 Te 0.246 0.246 0.772
11 Te 0.246 0.772 0.246
12 Te 0.754 0.228 0.754
13 Te 0.754 0.754 0.228
14 Te 0.759 0.759 0.759
15 Te 0.772 0.246 0.246



Below is crystalline RhWSN2 at its relaxed geometry, with properties calculated at the PBE level.

Values from the calculation:
SG: P4/mmm
Energy relative to the elements, uncorrected, eV per atom: 0.657
E above lowest polymorph, meV/atom: 0.0

a b c (Å): 3.851 3.851 5.002
angles (deg): 90.00 90.00 90.00
Atoms (fractional coordinates):
1 Rh 0.000 0.000 0.000
2 W 0.500 0.500 0.500
3 S 0.500 0.500 0.000
4 N 0.000 0.500 0.500
5 N 0.500 0.000 0.500



Below is crystalline Cs2DyScTe4 at its relaxed geometry, with properties calculated at the PBE level.

Values from the calculation:
SG: P2/m
Energy relative to the elements, uncorrected, eV per atom: -1.303

a b c (Å): 7.736 4.465 9.244
angles (deg): 90.00 106.17 90.00
Atoms (fractional coordinates):
1 Cs 0.000 0.000 0.000
2 Cs 0.500 0.500 0.000
3 Dy 0.000 0.500 0.500
4 Sc 0.500 0.000 0.500
5 Te 0.239 0.000 0.687
6 Te 0.282 0.500 0.318
7 Te 0.718 0.500 0.682
8 Te 0.761 0.000 0.313



Going through the records in order, we get final energy values of -5.953; -5.669; -5.351; -5.159; -7.559; -4.454 eV/atom.